1.
Below is a relaxed Tb2SmMg crystal, with properties calculated at the PBE level.

The value obtained for the volume is 121 Å³/f.u. The density of states at the Fermi level is 4.42 states/eV/f.u. The calculation puts the total magnetization at 0.00 μB per atom. As for the crystal system: tetragonal. The formation energy comes out at -0.031 eV/atom.

It has space group P4/mmm (No. 123), with a = 3.634 Å, b = 3.634 Å, c = 9.171 Å, α = 90.00°, β = 90.00° and γ = 90.00°. The inequivalent atoms are Tb at (0.000, 0.000, 0.230), Sm at (0.500, 0.500, 0.500) and Mg at (0.500, 0.500, 0.000).



2.
Below is a relaxed TbSm2Mg5 crystal, with properties calculated at the PBE level.

The value obtained for the volume is 214 Å³/f.u. The density of states at the Fermi level is 7.69 states/eV/f.u. The calculation puts the total magnetization at 0.00 μB per atom. As for the crystal system: tetragonal. The formation energy comes out at -0.079 eV/atom.

It has space group I4/mmm (No. 139), with a = 5.264 Å, b = 5.264 Å, c = 15.466 Å, α = 90.00°, β = 90.00° and γ = 90.00°. The inequivalent atoms are Tb at (0.000, 0.000, 0.000), Sm at (0.000, 0.000, 0.259), Mg at (0.000, 0.000, 0.500) and Mg at (0.000, 0.500, 0.117).



3.
Below is a relaxed Tb5SmMg crystal, with properties calculated at the PBE level.

The value obtained for the volume is 225 Å³/f.u. The density of states at the Fermi level is 10.55 states/eV/f.u. The calculation puts the total magnetization at 0.00 μB per atom. As for the crystal system: orthorhombic. The formation energy comes out at 0.220 eV/atom.

It has space group Imm2 (No. 44), with a = 6.355 Å, b = 6.543 Å, c = 10.834 Å, α = 90.00°, β = 90.00° and γ = 90.00°. The inequivalent atoms are Tb at (0.000, 0.000, 0.000), Tb at (0.000, 0.267, 0.252), Tb at (0.239, 0.500, 0.966), Sm at (0.000, 0.500, 0.618) and Mg at (0.000, 0.000, 0.722).



4.
Below is a relaxed TbSm2Mg9 crystal, with properties calculated at the PBE level.

The value obtained for the volume is 312 Å³/f.u. The density of states at the Fermi level is 11.74 states/eV/f.u. The calculation puts the total magnetization at 0.00 μB per atom. As for the crystal system: trigonal. The formation energy comes out at -0.043 eV/atom.

It has space group R-3m (No. 166, hexagonal axes), with a = 6.0623 Å, b = 6.0623 Å, c = 29.3669 Å, α = 90.00°, β = 90.00° and γ = 120.00°. The inequivalent atoms are Tb at (0.0000, 0.0000, 0.0000), Sm at (0.0000, 0.0000, 0.1419), Mg at (0.0000, 0.0000, 0.3340), Mg at (0.0000, 0.0000, 0.5000) and Mg at (0.0040, 0.5020, 0.9166).



5.
Below is a relaxed Tb4Sm7Mg crystal, with properties calculated at the PBE level.

The value obtained for the volume is 400 Å³/f.u. The density of states at the Fermi level is 17.66 states/eV/f.u. The calculation puts the total magnetization at 0.00 μB per atom. As for the crystal system: monoclinic. The formation energy comes out at 0.204 eV/atom.

It has space group C2/m (No. 12), with a = 16.092 Å, b = 5.987 Å, c = 9.255 Å, α = 90.00°, β = 116.08° and γ = 90.00°. The inequivalent atoms are Tb at (0.087, 0.000, 0.457), Tb at (0.212, 0.000, 0.238), Sm at (0.000, 0.000, 0.000), Sm at (0.072, 0.500, 0.717), Sm at (0.165, 0.500, 0.382), Sm at (0.216, 0.000, 0.882) and Mg at (0.000, 0.500, 0.000).



6.
Below is a relaxed TbSm4Mg crystal, with properties calculated at the PBE level.

The value obtained for the volume is 191 Å³/f.u. The density of states at the Fermi level is 7.34 states/eV/f.u. The calculation puts the total magnetization at 0.00 μB per atom. As for the crystal system: tetragonal. The formation energy comes out at -0.020 eV/atom.

It has space group P4/mmm (No. 123), with a = 3.632 Å, b = 3.632 Å, c = 14.475 Å, α = 90.00°, β = 90.00° and γ = 90.00°. The inequivalent atoms are Tb at (0.000, 0.000, 0.000), Sm at (0.000, 0.000, 0.348), Sm at (0.500, 0.500, 0.175) and Mg at (0.500, 0.500, 0.500).



7.
Below is a relaxed Tb2SmMg crystal, with properties calculated at the PBE level.

The value obtained for the volume is 121 Å³/f.u. The density of states at the Fermi level is 4.15 states/eV/f.u. The calculation puts the total magnetization at 0.00 μB per atom. As for the crystal system: monoclinic. The formation energy comes out at -0.032 eV/atom.

It has space group C2/m (No. 12), with a = 7.251 Å, b = 7.250 Å, c = 9.916 Å, α = 90.00°, β = 111.44° and γ = 90.00°. The inequivalent atoms are Tb at (0.134, 0.000, 0.268), Tb at (0.250, 0.250, 0.000), Sm at (0.133, 0.500, 0.265) and Mg at (0.000, 0.250, 0.500).



8.
Below is a relaxed TbSm3Mg6 crystal, with properties calculated at the PBE level.

The value obtained for the volume is 272 Å³/f.u. The density of states at the Fermi level is 10.07 states/eV/f.u. The calculation puts the total magnetization at 0.00 μB per atom. As for the crystal system: monoclinic. The formation energy comes out at -0.076 eV/atom.

It has space group P2_1/m (No. 11), with a = 9.378 Å, b = 5.308 Å, c = 11.352 Å, α = 90.00°, β = 105.47° and γ = 90.00°. The inequivalent atoms are Tb at (0.050, 0.250, 0.398), Sm at (0.246, 0.250, 0.995), Sm at (0.351, 0.750, 0.793), Sm at (0.461, 0.250, 0.604), Mg at (0.046, 0.750, 0.899), Mg at (0.140, 0.250, 0.696), Mg at (0.145, 0.750, 0.193), Mg at (0.240, 0.750, 0.488), Mg at (0.334, 0.250, 0.292) and Mg at (0.440, 0.750, 0.099).



9.
Below is a relaxed Tb2Sm8Mg crystal, with properties calculated at the PBE level.

The value obtained for the volume is 368 Å³/f.u. The density of states at the Fermi level is 19.50 states/eV/f.u. The calculation puts the total magnetization at 0.00 μB per atom. As for the crystal system: orthorhombic. The formation energy comes out at 0.103 eV/atom.

It has space group Immm (No. 71), with a = 5.591 Å, b = 7.746 Å, c = 16.992 Å, α = 90.00°, β = 90.00° and γ = 90.00°. The inequivalent atoms are Tb at (0.000, 0.000, 0.195), Sm at (0.000, 0.232, 0.000), Sm at (0.000, 0.281, 0.365), Sm at (0.000, 0.500, 0.175) and Mg at (0.000, 0.000, 0.500).



10.
Below is a relaxed Tb4Sm7Mg crystal, with properties calculated at the PBE level.

The value obtained for the volume is 403 Å³/f.u. The density of states at the Fermi level is 18.56 states/eV/f.u. The calculation puts the total magnetization at 0.00 μB per atom. As for the crystal system: monoclinic. The formation energy comes out at 0.245 eV/atom.

It has space group C2/m (No. 12), with a = 11.925 Å, b = 5.887 Å, c = 12.871 Å, α = 90.00°, β = 116.79° and γ = 90.00°. The inequivalent atoms are Tb at (0.133, 0.000, 0.276), Tb at (0.154, 0.500, 0.134), Sm at (0.000, 0.000, 0.500), Sm at (0.097, 0.500, 0.774), Sm at (0.135, 0.000, 0.978), Sm at (0.203, 0.500, 0.419) and Mg at (0.000, 0.500, 0.500).



11.
Below is a relaxed Tb2Sm5Mg5 crystal, with properties calculated at the PBE level.

The value obtained for the volume is 364 Å³/f.u. The density of states at the Fermi level is 13.58 states/eV/f.u. The calculation puts the total magnetization at 0.00 μB per atom. As for the crystal system: monoclinic. The formation energy comes out at 0.082 eV/atom.

It has space group C2/m (No. 12), with a = 15.636 Å, b = 3.509 Å, c = 14.065 Å, α = 90.00°, β = 109.20° and γ = 90.00°. The inequivalent atoms are Tb at (0.188, 0.000, 0.175), Sm at (0.000, 0.000, 0.500), Sm at (0.066, 0.500, 0.307), Sm at (0.147, 0.500, 0.941), Mg at (0.000, 0.000, 0.000), Mg at (0.129, 0.000, 0.729) and Mg at (0.213, 0.500, 0.573).



12.
Below is a relaxed Tb6Sm12Mg crystal, with properties calculated at the PBE level.

The value obtained for the volume is 643 Å³/f.u. The density of states at the Fermi level is 28.45 states/eV/f.u. The calculation puts the total magnetization at 0.00 μB per atom. As for the crystal system: trigonal. The formation energy comes out at 0.132 eV/atom.

It has space group R-3 (No. 148, hexagonal axes), with a = 13.0682 Å, b = 13.0682 Å, c = 13.0431 Å, α = 90.00°, β = 90.00° and γ = 120.00°. The inequivalent atoms are Tb at (0.0899, 0.9092, 0.2741), Sm at (0.9997, 0.2614, 0.4998), Sm at (0.0585, 0.5292, 0.6111) and Mg at (0.0000, 0.0000, 0.5000).



13.
Below is a relaxed Tb3Sm2Mg crystal, with properties calculated at the PBE level.

The value obtained for the volume is 187 Å³/f.u. The density of states at the Fermi level is 7.18 states/eV/f.u. The calculation puts the total magnetization at 0.00 μB per atom. As for the crystal system: orthorhombic. The formation energy comes out at 0.011 eV/atom.

It has space group Cmmm (No. 65), with a = 4.958 Å, b = 15.119 Å, c = 4.994 Å, α = 90.00°, β = 90.00° and γ = 90.00°. The inequivalent atoms are Tb at (0.000, 0.000, 0.000), Tb at (0.000, 0.332, 0.000), Sm at (0.000, 0.165, 0.500) and Mg at (0.000, 0.500, 0.500).



14.
Below is a relaxed TbSm5Mg3 crystal, with properties calculated at the PBE level.

The value obtained for the volume is 299 Å³/f.u. The density of states at the Fermi level is 12.71 states/eV/f.u. The calculation puts the total magnetization at 0.00 μB per atom. As for the crystal system: monoclinic. The formation energy comes out at 0.381 eV/atom.

It has space group C2/m (No. 12), with a = 13.605 Å, b = 8.181 Å, c = 10.837 Å, α = 90.00°, β = 97.51° and γ = 90.00°. The inequivalent atoms are Tb at (0.104, 0.000, 0.266), Sm at (0.000, 0.330, 0.000), Sm at (0.011, 0.500, 0.640), Sm at (0.150, 0.206, 0.727), Sm at (0.242, 0.000, 0.031), Mg at (0.000, 0.000, 0.000), Mg at (0.000, 0.000, 0.500), Mg at (0.157, 0.500, 0.209) and Mg at (0.220, 0.500, 0.495).



15.
Below is a relaxed Tb2Sm12Mg crystal, with properties calculated at the PBE level.

The value obtained for the volume is 508 Å³/f.u. The density of states at the Fermi level is 21.15 states/eV/f.u. The calculation puts the total magnetization at 0.00 μB per atom. As for the crystal system: orthorhombic. The formation energy comes out at 0.148 eV/atom.

It has space group Cmme (No. 67), with a = 7.156 Å, b = 11.537 Å, c = 24.625 Å, α = 90.00°, β = 90.00° and γ = 90.00°. The inequivalent atoms are Tb at (0.000, 0.250, 0.233), Tb at (0.000, 0.250, 0.763), Sm at (0.000, 0.001, 0.574), Sm at (0.000, 0.023, 0.061), Sm at (0.232, 0.250, 0.914), Sm at (0.249, 0.250, 0.374), Sm at (0.250, 0.000, 0.176), Sm at (0.250, 0.000, 0.303) and Mg at (0.000, 0.250, 0.500).



16.
Below is a relaxed Tb2SmMg8 crystal, with properties calculated at the PBE level.

The value obtained for the volume is 292 Å³/f.u. The density of states at the Fermi level is 8.38 states/eV/f.u. The calculation puts the total magnetization at 0.00 μB per atom. As for the crystal system: orthorhombic. The formation energy comes out at 0.048 eV/atom.

It has space group Immm (No. 71), with a = 5.234 Å, b = 7.447 Å, c = 14.980 Å, α = 90.00°, β = 90.00° and γ = 90.00°. The inequivalent atoms are Tb at (0.000, 0.000, 0.201), Sm at (0.000, 0.000, 0.500), Mg at (0.000, 0.210, 0.000), Mg at (0.000, 0.295, 0.357) and Mg at (0.000, 0.500, 0.159).



17.
Below is a relaxed TbSmMg17 crystal, with properties calculated at the PBE level.

The value obtained for the volume is 460 Å³/f.u. The density of states at the Fermi level is 8.39 states/eV/f.u. The calculation puts the total magnetization at 0.00 μB per atom. As for the crystal system: trigonal. The formation energy comes out at -0.031 eV/atom.

It has space group R3m (No. 160, hexagonal axes), with a = 10.2350 Å, b = 10.2350 Å, c = 15.2275 Å, α = 90.00°, β = 90.00° and γ = 120.00°. The inequivalent atoms are Tb at (0.0000, 0.0000, 0.0000), Sm at (0.0000, 0.0000, 0.6575), Mg at (0.0000, 0.0000, 0.2287), Mg at (0.0000, 0.0000, 0.4272), Mg at (0.0078, 0.5039, 0.4791), Mg at (0.0313, 0.3639, 0.9949), Mg at (0.1671, 0.3342, 0.1619) and Mg at (0.1716, 0.3432, 0.5106).



18.
Below is a relaxed Tb3Sm2Mg2 crystal, with properties calculated at the PBE level.

The value obtained for the volume is 214 Å³/f.u. The density of states at the Fermi level is 8.77 states/eV/f.u. The calculation puts the total magnetization at 0.09 μB per atom. As for the crystal system: orthorhombic. The formation energy comes out at 0.041 eV/atom.

It has space group Cmmm (No. 65), with a = 3.739 Å, b = 31.367 Å, c = 3.648 Å, α = 90.00°, β = 90.00° and γ = 90.00°. The inequivalent atoms are Tb at (0.000, 0.000, 0.000), Tb at (0.000, 0.423, 0.500), Sm at (0.000, 0.297, 0.500) and Mg at (0.000, 0.139, 0.000).



19.
Below is a relaxed Tb7SmMg2 crystal, with properties calculated at the PBE level.

The value obtained for the volume is 380 Å³/f.u. The density of states at the Fermi level is 18.06 states/eV/f.u. The calculation puts the total magnetization at 0.00 μB per atom. As for the crystal system: orthorhombic. The formation energy comes out at 0.575 eV/atom.

It has space group Cmmm (No. 65), with a = 8.751 Å, b = 16.262 Å, c = 5.338 Å, α = 90.00°, β = 90.00° and γ = 90.00°. The inequivalent atoms are Tb at (0.000, 0.000, 0.000), Tb at (0.000, 0.287, 0.500), Tb at (0.183, 0.386, 0.000), Sm at (0.000, 0.500, 0.500) and Mg at (0.000, 0.203, 0.000).



20.
Below is a relaxed Tb7Sm4Mg crystal, with properties calculated at the PBE level.

The value obtained for the volume is 384 Å³/f.u. The density of states at the Fermi level is 14.75 states/eV/f.u. The calculation puts the total magnetization at 0.00 μB per atom. As for the crystal system: trigonal. The formation energy comes out at 0.014 eV/atom.

It has space group P-3m1 (No. 164), with a = 3.5782 Å, b = 3.5782 Å, c = 34.6122 Å, α = 90.00°, β = 90.00° and γ = 120.00°. The inequivalent atoms are Tb at (0.0000, 0.0000, 0.0000), Tb at (0.0000, 0.0000, 0.2533), Tb at (0.3333, 0.6667, 0.1698), Tb at (0.3333, 0.6667, 0.4227), Sm at (0.3333, 0.6667, 0.6615), Sm at (0.3333, 0.6667, 0.9152) and Mg at (0.0000, 0.0000, 0.5000).



Uncorrected energy
In order: -3.9243, -2.8338, -3.9897, -2.4114, -4.2251, -4.2035, -3.9259, -2.9120, -4.3161, -4.1841, -3.3205, -4.3944, -4.1432, -3.2872, -4.3512, -2.3827, -1.9495, -3.7474, -3.4570, -4.3931
Unit: eV per atom